# 1
Density functional theory data (GGA-PBE) for DyVRh after structural relaxation.

Results
magnetic moment: 0.000 μB/f.u.
energy relative to the elements: -200.4 meV per atom

```
data_DyVRh
_symmetry_space_group_name_H-M 'P 4/m m m'
_symmetry_Int_Tables_number 123
_symmetry_space_group_name_Hall '-P 4 2'
_cell_length_a 3.4388
_cell_length_b 3.4388
_cell_length_c 9.6985
_cell_angle_alpha 90.00
_cell_angle_beta 90.00
_cell_angle_gamma 90.00
loop_
_atom_site_label
_atom_site_fract_x
_atom_site_fract_y
_atom_site_fract_z
Dy1 0.0000 0.0000 0.1721
V1 0.5000 0.5000 0.3954
Rh1 0.0000 0.0000 0.5000
Rh2 0.5000 0.5000 0.0000
```

=====

# 2
Density functional theory data (GGA-PBE) for DyVRh2 after structural relaxation.

Results
magnetic moment: 2.283 μB/f.u.
polymorph energy (0 for the lowest one): 8.90 kJ per mole of atoms
energy relative to the elements: -381.2 meV per atom

```
data_DyVRh2
_symmetry_space_group_name_H-M 'P 4/m m m'
_symmetry_Int_Tables_number 123
_symmetry_space_group_name_Hall '-P 4 2'
_cell_length_a 4.6526
_cell_length_b 4.6526
_cell_length_c 3.1564
_cell_angle_alpha 90.00
_cell_angle_beta 90.00
_cell_angle_gamma 90.00
loop_
_atom_site_label
_atom_site_fract_x
_atom_site_fract_y
_atom_site_fract_z
Dy1 0.0000 0.0000 0.0000
V1 0.5000 0.5000 0.0000
Rh1 0.0000 0.5000 0.5000
```

=====

> The highest magnetic moment belongs to which entry?

DyVRh2

=====

> Which formula does entry 2 have?

DyVRh2

=====

> Number 2 is which compound?

DyVRh2

=====

Copy entry 2 word for word.
Density functional theory data (GGA-PBE) for DyVRh2 after structural relaxation.

Results
magnetic moment: 2.283 μB/f.u.
polymorph energy (0 for the lowest one): 8.90 kJ per mole of atoms
energy relative to the elements: -381.2 meV per atom

```
data_DyVRh2
_symmetry_space_group_name_H-M 'P 4/m m m'
_symmetry_Int_Tables_number 123
_symmetry_space_group_name_Hall '-P 4 2'
_cell_length_a 4.6526
_cell_length_b 4.6526
_cell_length_c 3.1564
_cell_angle_alpha 90.00
_cell_angle_beta 90.00
_cell_angle_gamma 90.00
loop_
_atom_site_label
_atom_site_fract_x
_atom_site_fract_y
_atom_site_fract_z
Dy1 0.0000 0.0000 0.0000
V1 0.5000 0.5000 0.0000
Rh1 0.0000 0.5000 0.5000
```